A plane-wave DFT calculation with meta-GGA SCAN was carried out for a PBEsol-optimized structure of CsBaFe3.

For the total energy, the calculation gives -24.407 eV per atom. The crystal system is cubic.

It has space group Pm-3m (No. 221), with a = 5.595 Å, b = 5.595 Å, c = 5.595 Å, α = 90.00°, β = 90.00° and γ = 90.00°. Symmetry generates all atoms from Cs at (0.000, 0.000, 0.000), Ba at (0.500, 0.500, 0.500) and Fe at (0.000, 0.500, 0.500).